Material: Co2Sb2Au
Method: DFT, GGA-PBE
State: optimized geometry

The calculation puts the uncorrected formation energy at 0.41 eV per atom. The offset from the most stable computed form is 317 meV/atom. As for the space group: I4/mmm (139). For the calculated total energy, the calculation gives -4.7394 eV per atom.

Lattice parameters (Å, degrees): 6.0009 6.0009 6.0009 138.46 138.46 60.19
Closest atoms and distances in Å follow each position.
Atoms (fractional coordinates):
Co 0.1111 0.1111 0.0000  1 Co 2.31, 4 Sb 2.57
Co 0.8889 0.8889 0.0000  1 Co 2.31, 4 Sb 2.57
Sb 0.2500 0.7500 0.5000  4 Co 2.57
Sb 0.7500 0.2500 0.5000  4 Co 2.57
Au 0.5000 0.5000 0.0000  8 Co 3.22, 8 Sb 3.36

Material: LiCe2Co
Method: DFT, GGA-PBE
State: optimized geometry

The offset from the most stable computed form is 115 meV/atom. As for the space group: R-3m (166). For the calculated total energy, the calculation gives -5.0761 eV per atom. The formation enthalpy at 0 K comes out at 0.15 eV/atom.

Lattice parameters (Å, degrees): 10.1006 10.1006 10.1006 20.63 20.63 20.63
Closest atoms and distances in Å follow each position.
Atoms (fractional coordinates):
Li 0.0000 0.0000 0.0000  2 Ce 3.33, 6 Li 3.62
Ce 0.1122 0.1122 0.1122  3 Co 2.64
Ce 0.8878 0.8878 0.8878  3 Co 2.64
Co 0.5000 0.5000 0.5000  6 Ce 2.64

Material: Th3Sb5Te12
Method: DFT, GGA-PBE
State: optimized geometry

The calculation puts the uncorrected formation energy at -0.36 eV per atom. As for the space group: Ia-3d (230). For the calculated total energy, the calculation gives -4.3880 eV per atom.

Lattice parameters (Å, degrees): 15.7826 15.7826 15.7826 109.47 109.47 109.47
Closest atoms and distances in Å follow each position.
Atoms (fractional coordinates):
Th 0.1250 0.2500 0.3750  8 Te 3.30-3.35
Th 0.1250 0.3750 0.7500  8 Te 3.30-3.35
Th 0.2500 0.3750 0.1250  8 Te 3.30-3.35
Th 0.2500 0.8750 0.6250  8 Te 3.30-3.35
Th 0.3750 0.1250 0.2500  8 Te 3.30-3.35
Th 0.3750 0.7500 0.1250  8 Te 3.30-3.35
Th 0.6250 0.2500 0.8750  8 Te 3.30-3.35
Th 0.6250 0.8750 0.7500  8 Te 3.30-3.35
Th 0.7500 0.1250 0.3750  8 Te 3.30-3.35
Th 0.7500 0.6250 0.8750  8 Te 3.30-3.35
Th 0.8750 0.6250 0.2500  8 Te 3.30-3.35
Th 0.8750 0.7500 0.6250  8 Te 3.30-3.35
Sb 0.0000 0.0000 0.0000  6 Te 3.09
Sb 0.0000 0.0000 0.5000  6 Te 3.09
Sb 0.0000 0.5000 0.0000  6 Te 3.09
Sb 0.0000 0.5000 0.5000  6 Te 3.09
Sb 0.1250 0.7500 0.8750  4 Te 2.97
Sb 0.1250 0.8750 0.2500  4 Te 2.97
Sb 0.2500 0.1250 0.8750  4 Te 2.97
Sb 0.2500 0.6250 0.3750  4 Te 2.97
Sb 0.3750 0.2500 0.6250  4 Te 2.97
Sb 0.3750 0.6250 0.7500  4 Te 2.97
Sb 0.5000 0.0000 0.0000  6 Te 3.09
Sb 0.5000 0.0000 0.5000  6 Te 3.09
Sb 0.5000 0.5000 0.0000  6 Te 3.09
Sb 0.5000 0.5000 0.5000  6 Te 3.09
Sb 0.6250 0.3750 0.2500  4 Te 2.97
Sb 0.6250 0.7500 0.3750  4 Te 2.97
Sb 0.7500 0.3750 0.6250  4 Te 2.97
Sb 0.7500 0.8750 0.1250  4 Te 2.97
Sb 0.8750 0.1250 0.7500  4 Te 2.97
Sb 0.8750 0.2500 0.1250  4 Te 2.97
Te 0.0562 0.2231 0.1416  2 Sb 2.97-3.09, 1 Th 3.30
Te 0.0562 0.3331 0.9147  2 Sb 2.97-3.09, 1 Th 3.30
Te 0.0816 0.7231 0.6669  2 Sb 2.97-3.09, 1 Th 3.30
Te 0.0816 0.8584 0.4147  2 Sb 2.97-3.09, 1 Th 3.30
Te 0.0853 0.6416 0.4184  2 Sb 2.97-3.09, 1 Th 3.30
Te 0.0853 0.9438 0.6669  2 Sb 2.97-3.09, 1 Th 3.30
Te 0.1416 0.0562 0.2231  2 Sb 2.97-3.09, 1 Th 3.30
Te 0.1416 0.5853 0.9184  2 Sb 2.97-3.09, 1 Th 3.30
Te 0.1669 0.2231 0.5816  2 Sb 2.97-3.09, 1 Th 3.30
Te 0.1669 0.4438 0.5853  2 Sb 2.97-3.09, 1 Th 3.30
Te 0.2231 0.1416 0.0562  2 Sb 2.97-3.09, 1 Th 3.30
Te 0.2231 0.5816 0.1669  2 Sb 2.97-3.09, 1 Th 3.30
Te 0.2769 0.3331 0.9184  2 Sb 2.97-3.09, 1 Th 3.30
Te 0.2769 0.4438 0.3584  2 Sb 2.97-3.09, 1 Th 3.30
Te 0.3331 0.9147 0.0562  2 Sb 2.97-3.09, 1 Th 3.30
Te 0.3331 0.9184 0.2769  2 Sb 2.97-3.09, 1 Th 3.30
Te 0.3584 0.2769 0.4438  2 Sb 2.97-3.09, 1 Th 3.30
Te 0.3584 0.5816 0.9147  2 Sb 2.97-3.09, 1 Th 3.30
Te 0.4147 0.0816 0.8584  2 Sb 2.97-3.09, 1 Th 3.30
Te 0.4147 0.8331 0.5562  2 Sb 2.97-3.09, 1 Th 3.30
Te 0.4184 0.0853 0.6416  2 Sb 2.97-3.09, 1 Th 3.30
Te 0.4184 0.8331 0.7769  2 Sb 2.97-3.09, 1 Th 3.30
Te 0.4438 0.3584 0.2769  2 Sb 2.97-3.09, 1 Th 3.30
Te 0.4438 0.5853 0.1669  2 Sb 2.97-3.09, 1 Th 3.30
Te 0.5562 0.4147 0.8331  2 Sb 2.97-3.09, 1 Th 3.30
Te 0.5562 0.6416 0.7231  2 Sb 2.97-3.09, 1 Th 3.30
Te 0.5816 0.1669 0.2231  2 Sb 2.97-3.09, 1 Th 3.30
Te 0.5816 0.9147 0.3584  2 Sb 2.97-3.09, 1 Th 3.30
Te 0.5853 0.1669 0.4438  2 Sb 2.97-3.09, 1 Th 3.30
Te 0.5853 0.9184 0.1416  2 Sb 2.97-3.09, 1 Th 3.30
Te 0.6416 0.4184 0.0853  2 Sb 2.97-3.09, 1 Th 3.30
Te 0.6416 0.7231 0.5562  2 Sb 2.97-3.09, 1 Th 3.30
Te 0.6669 0.0816 0.7231  2 Sb 2.97-3.09, 1 Th 3.30
Te 0.6669 0.0853 0.9438  2 Sb 2.97-3.09, 1 Th 3.30
Te 0.7231 0.5562 0.6416  2 Sb 2.97-3.09, 1 Th 3.30
Te 0.7231 0.6669 0.0816  2 Sb 2.97-3.09, 1 Th 3.30
Te 0.7769 0.4184 0.8331  2 Sb 2.97-3.09, 1 Th 3.30
Te 0.7769 0.8584 0.9438  2 Sb 2.97-3.09, 1 Th 3.30
Te 0.8331 0.5562 0.4147  2 Sb 2.97-3.09, 1 Th 3.30
Te 0.8331 0.7769 0.4184  2 Sb 2.97-3.09, 1 Th 3.30
Te 0.8584 0.4147 0.0816  2 Sb 2.97-3.09, 1 Th 3.30
Te 0.8584 0.9438 0.7769  2 Sb 2.97-3.09, 1 Th 3.30
Te 0.9147 0.0562 0.3331  2 Sb 2.97-3.09, 1 Th 3.30
Te 0.9147 0.3584 0.5816  2 Sb 2.97-3.09, 1 Th 3.30
Te 0.9184 0.1416 0.5853  2 Sb 2.97-3.09, 1 Th 3.30
Te 0.9184 0.2769 0.3331  2 Sb 2.97-3.09, 1 Th 3.30
Te 0.9438 0.6669 0.0853  2 Sb 2.97-3.09, 1 Th 3.30
Te 0.9438 0.7769 0.8584  2 Sb 2.97-3.09, 1 Th 3.30

Material: RuRhO2F
Method: DFT, GGA-PBE
State: optimized geometry

The calculation puts the uncorrected formation energy at 0.13 eV per atom. As for the space group: P4/mmm (123). For the calculated total energy, the calculation gives -5.5552 eV per atom.

Lattice parameters (Å, degrees): 3.9548 3.9548 4.0954 90.00 90.00 90.00
Closest atoms and distances in Å follow each position.
Atoms (fractional coordinates):
Ru 0.0000 0.0000 0.0000  4 F 2.80, 8 O 2.85
Rh 0.5000 0.5000 0.5000  4 O 1.98, 2 F 2.05
O 0.0000 0.5000 0.5000  2 Rh 1.98
O 0.5000 0.0000 0.5000  2 Rh 1.98
F 0.5000 0.5000 0.0000  2 Rh 2.05

Material: Ba3CdO
Method: DFT, GGA-PBE
State: optimized geometry

The calculation puts the uncorrected formation energy at -1.09 eV per atom. The offset from the most stable computed form is 8 meV/atom. As for the space group: Pm-3m (221). For the calculated total energy, the calculation gives -3.4161 eV per atom.

Lattice parameters (Å, degrees): 5.5784 5.5784 5.5784 90.00 90.00 90.00
Closest atoms and distances in Å follow each position.
Atoms (fractional coordinates):
Ba 0.0000 0.0000 0.5000  2 O 2.79
Ba 0.0000 0.5000 0.0000  2 O 2.79
Ba 0.5000 0.0000 0.0000  2 O 2.79
Cd 0.5000 0.5000 0.5000  12 Ba 3.94
O 0.0000 0.0000 0.0000  6 Ba 2.79

Material: Li8AcMg4
Method: DFT, GGA-PBE
State: optimized geometry

As for the space group: I4/mmm (139). For the calculated total energy, the calculation gives -1.9898 eV per atom. The formation enthalpy at 0 K comes out at -0.01 eV/atom.

Lattice parameters (Å, degrees): 7.7716 7.7716 7.7716 98.53 98.53 134.70
Closest atoms and distances in Å follow each position.
Atoms (fractional coordinates):
Li 0.0000 0.2178 0.2178  4 Mg 2.96, 6 Li 3.12-3.31
Li 0.0000 0.7822 0.7822  4 Mg 2.96, 6 Li 3.12-3.31
Li 0.1438 0.5000 0.6438  3 Li 2.92-3.21, 4 Mg 3.14
Li 0.2178 0.0000 0.2178  4 Mg 2.96, 6 Li 3.12-3.31
Li 0.5000 0.1438 0.6438  3 Li 2.92-3.21, 4 Mg 3.14
Li 0.5000 0.8562 0.3562  3 Li 2.92-3.21, 4 Mg 3.14
Li 0.7822 0.0000 0.7822  4 Mg 2.96, 6 Li 3.12-3.31
Li 0.8562 0.5000 0.3562  3 Li 2.92-3.21, 4 Mg 3.14
Ac 0.5000 0.5000 0.0000  12 Li 3.61-3.72, 8 Mg 3.89
Mg 0.0000 0.0000 0.5000  8 Li 2.96-3.14, 2 Mg 2.99
Mg 0.0000 0.5000 0.0000  8 Li 2.96-3.14, 2 Mg 2.99
Mg 0.5000 0.0000 0.0000  8 Li 2.96-3.14, 2 Mg 2.99
Mg 0.5000 0.5000 0.5000  8 Li 2.96-3.14, 2 Mg 2.99

Material: Mg2NiOs
Method: DFT, GGA-PBE
State: optimized geometry

The offset from the most stable computed form is 153 meV/atom. As for the space group: Pmm2 (25). For the calculated total energy, the calculation gives -4.8488 eV per atom. The formation enthalpy at 0 K comes out at 0.20 eV/atom.

Lattice parameters (Å, degrees): 2.6888 4.1097 5.4701 90.00 90.00 90.00
Closest atoms and distances in Å follow each position.
Atoms (fractional coordinates):
Mg 0.0000 0.0000 0.0000  1 Ni 2.56, 2 Mg 2.69, 4 Os 2.76
Mg 0.5000 0.5000 0.2902  2 Os 2.62-2.85, 6 Mg 2.69-2.92, 4 Ni 2.79
Ni 0.0000 0.0000 0.5321  5 Mg 2.56-2.79, 2 Ni 2.69, 4 Os 2.78
Os 0.5000 0.5000 0.7684  6 Mg 2.62-2.85, 2 Os 2.69, 4 Ni 2.78

Material: Rb2CdHg2
Method: DFT, GGA-PBE
State: optimized geometry

The offset from the most stable computed form is 39 meV/atom. As for the space group: P4/mbm (127). For the calculated total energy, the calculation gives -0.8453 eV per atom. The formation enthalpy at 0 K comes out at -0.15 eV/atom.

Lattice parameters (Å, degrees): 8.3283 8.3283 5.6290 90.00 90.00 90.00
Closest atoms and distances in Å follow each position.
Atoms (fractional coordinates):
Rb 0.1768 0.3232 0.0000  6 Hg 3.60-3.83
Rb 0.3232 0.8232 0.0000  6 Hg 3.60-3.83
Rb 0.6768 0.1768 0.0000  6 Hg 3.60-3.83
Rb 0.8232 0.6768 0.0000  6 Hg 3.60-3.83
Cd 0.0000 0.0000 0.5000  4 Hg 3.25
Cd 0.5000 0.5000 0.5000  4 Hg 3.25
Hg 0.1328 0.6328 0.5000  1 Hg 3.13, 2 Cd 3.25
Hg 0.3672 0.1328 0.5000  1 Hg 3.13, 2 Cd 3.25
Hg 0.6328 0.8672 0.5000  1 Hg 3.13, 2 Cd 3.25
Hg 0.8672 0.3672 0.5000  1 Hg 3.13, 2 Cd 3.25

Material: KWAu2
Method: DFT, GGA-PBE
State: optimized geometry

The offset from the most stable computed form is 0 meV/atom. As for the space group: P4/mmm (123). For the calculated total energy, the calculation gives -4.7702 eV per atom. The formation enthalpy at 0 K comes out at 0.38 eV/atom.

Lattice parameters (Å, degrees): 2.9661 2.9661 9.2916 90.00 90.00 90.00
Closest atoms and distances in Å follow each position.
Atoms (fractional coordinates):
K 0.0000 0.0000 0.0000  4 K 2.97
W 0.0000 0.0000 0.5000  8 Au 2.83, 4 W 2.97
Au 0.5000 0.5000 0.2954  4 W 2.83, 4 Au 2.97
Au 0.5000 0.5000 0.7046  4 W 2.83, 4 Au 2.97

Material: Er3Sc4Sb4
Method: DFT, GGA-PBE
State: optimized geometry

The calculation puts the uncorrected formation energy at -0.77 eV per atom. As for the space group: Immm (71). For the calculated total energy, the calculation gives -5.8123 eV per atom.

Lattice parameters (Å, degrees): 9.1731 9.1731 9.1731 154.04 122.24 64.37
Closest atoms and distances in Å follow each position.
Atoms (fractional coordinates):
Er 0.0000 0.0000 0.0000  6 Sb 3.29-3.64
Er 0.3870 0.8870 0.5000  6 Sb 3.14-3.29, 4 Sc 3.50, 1 Er 3.51
Er 0.6130 0.1130 0.5000  6 Sb 3.14-3.29, 4 Sc 3.50, 1 Er 3.51
Sc 0.0246 0.3241 0.7005  4 Sb 2.84-2.99
Sc 0.3765 0.6759 0.7005  4 Sb 2.84-2.99
Sc 0.6235 0.3241 0.2995  4 Sb 2.84-2.99
Sc 0.9754 0.6759 0.2995  4 Sb 2.84-2.99
Sb 0.2347 0.2347 0.0000  6 Sc 2.87-2.99, 2 Er 3.14
Sb 0.2891 0.5000 0.7891  2 Sc 2.84
Sb 0.7109 0.5000 0.2109  2 Sc 2.84
Sb 0.7653 0.7653 0.0000  6 Sc 2.87-2.99, 2 Er 3.14

Material: AlZn6Ag2
Method: DFT, GGA-PBE
State: optimized geometry

As for the space group: C2/c (15). For the calculated total energy, the calculation gives -1.8648 eV per atom. The formation enthalpy at 0 K comes out at 0.03 eV/atom.

Lattice parameters (Å, degrees): 6.8343 6.8343 7.7748 106.18 106.18 109.37
Closest atoms and distances in Å follow each position.
Atoms (fractional coordinates):
Al 0.1173 0.8827 0.7500  6 Zn 2.63-2.71, 2 Ag 2.72
Al 0.8827 0.1173 0.2500  6 Zn 2.63-2.71, 2 Ag 2.72
Zn 0.0842 0.8893 0.0805  4 Zn 2.54-2.74, 2 Al 2.63-2.71, 2 Ag 2.69-2.70
Zn 0.1107 0.9158 0.4195  4 Zn 2.54-2.74, 2 Al 2.63-2.71, 2 Ag 2.69-2.70
Zn 0.1929 0.4735 0.5902  6 Zn 2.61-2.81, 1 Al 2.70, 2 Ag 2.79-2.84
Zn 0.2857 0.4407 0.9511  5 Zn 2.58-2.79, 2 Ag 2.78
Zn 0.4407 0.2857 0.4511  5 Zn 2.58-2.79, 2 Ag 2.78
Zn 0.4735 0.1929 0.0902  6 Zn 2.61-2.81, 1 Al 2.70, 2 Ag 2.79-2.84
Zn 0.5265 0.8071 0.9098  6 Zn 2.61-2.81, 1 Al 2.70, 2 Ag 2.79-2.84
Zn 0.5593 0.7143 0.5489  5 Zn 2.58-2.79, 2 Ag 2.78
Zn 0.7143 0.5593 0.0489  5 Zn 2.58-2.79, 2 Ag 2.78
Zn 0.8071 0.5265 0.4098  6 Zn 2.61-2.81, 1 Al 2.70, 2 Ag 2.79-2.84
Zn 0.8893 0.0842 0.5805  4 Zn 2.54-2.74, 2 Al 2.63-2.71, 2 Ag 2.69-2.70
Zn 0.9158 0.1107 0.9195  4 Zn 2.54-2.74, 2 Al 2.63-2.71, 2 Ag 2.69-2.70
Ag 0.1025 0.5153 0.2260  7 Zn 2.69-2.97, 1 Al 2.72, 1 Ag 2.86
Ag 0.4847 0.8975 0.2740  7 Zn 2.69-2.97, 1 Al 2.72, 1 Ag 2.86
Ag 0.5153 0.1025 0.7260  7 Zn 2.69-2.97, 1 Al 2.72, 1 Ag 2.86
Ag 0.8975 0.4847 0.7740  7 Zn 2.69-2.97, 1 Al 2.72, 1 Ag 2.86